Sm2TcSe | PBE | relaxed

The space group is R-3m (No. 166, hexagonal axes) and the conventional cell measures 3.7319, 3.7319 and 26.9440 Å, with angles of 90.00, 90.00 and 120.00 degrees. The distinct sites, in fractional coordinates, are Sm at (0.0000, 0.0000, 0.0940), Tc at (0.0000, 0.0000, 0.0000) and Se at (0.0000, 0.0000, 0.5000).

The value obtained for the total energy is -69.8 eV per cell. The crystal system is trigonal. For the raw formation energy, the calculation gives 9 meV/atom.